AsSe2Br (PBE, relaxed); calculated total energy = -3.360 eV/atom; ΔE_f (raw) = -0.037 eV/atom; E above lowest polymorph = 0.1152 eV per atom; symmetry = Cm
1.0
6.075 0.014 -0.021
4.887 3.608 -0.021
0.911 0.301 5.640
As Se Br
1 2 1
Cartesian
6.170 2.039 3.405 As
11.609 3.836 5.255 Se
9.906 3.274 3.597 Se
1.998 0.660 1.739 Br